[1]
# FeMoPb2

Crystalline FeMoPb2 at its relaxed geometry (PBE, Alexandria).

Cell lengths 3.5582, 4.4046, 5.2469 Å; angles 90.00, 90.00, 90.00 degrees
With the nearest neighbours (Å) after each atom.
Space group Pmmm (No. 47)
Unique sites:
1 Fe 0.0000 0.0000 0.0000  4 Pb 2.83, 4 Mo 3.17
2 Mo 0.5000 0.0000 0.5000  4 Pb 2.83, 4 Fe 3.17
3 Pb 0.0000 0.5000 0.5000  4 Mo 2.83, 4 Pb 3.17
4 Pb 0.5000 0.5000 0.0000  4 Fe 2.83, 4 Pb 3.17

Magnetization: 3.42 μB/f.u.
Polymorph energy (0 for the lowest one): 0.503 eV/atom

***

[2]
# Fe4MoPb

Crystalline Fe4MoPb at its relaxed geometry (PBE, Alexandria).

Cell lengths 6.9437, 6.9437, 6.9437 Å; angles 90.00, 90.00, 90.00 degrees
With the nearest neighbours (Å) after each atom.
Space group F-43m (No. 216)
Unique sites:
1 Fe 0.1233 0.1233 0.1233  6 Fe 2.42-2.49
2 Mo 0.2500 0.2500 0.7500  12 Fe 2.88, 4 Pb 3.01
3 Pb 0.0000 0.0000 0.5000  12 Fe 2.88, 4 Mo 3.01

Magnetization: 7.98 μB/f.u.
Electronic total energy: -7.749 eV/atom

***

[3]
# FeMoPb2

Crystalline FeMoPb2 at its relaxed geometry (PBE, Alexandria).

Cell lengths 4.1049, 4.1049, 9.5108 Å; angles 90.00, 90.00, 90.00 degrees
With the nearest neighbours (Å) after each atom.
Space group I-4m2 (No. 119)
Unique sites:
1 Fe 0.0000 0.0000 0.0000  8 Pb 2.90-3.14, 4 Mo 3.14
2 Mo 0.0000 0.5000 0.7500  8 Pb 2.90-3.14, 4 Fe 3.14
3 Pb 0.0000 0.0000 0.5000  4 Fe 2.90, 4 Mo 3.14, 4 Pb 3.14
4 Pb 0.0000 0.5000 0.2500  4 Mo 2.90, 4 Fe 3.14, 4 Pb 3.14

Magnetization: 3.78 μB/f.u.
Polymorph energy (0 for the lowest one): 0.461 eV/atom

***

[4]
# FeMo3Pb

Crystalline FeMo3Pb at its relaxed geometry (PBE, Alexandria).

Cell lengths 4.5341, 4.5341, 4.5341 Å; angles 90.00, 90.00, 90.00 degrees
With the nearest neighbours (Å) after each atom.
Space group Pm-3m (No. 221)
Unique sites:
1 Fe 0.0000 0.0000 0.0000  6 Mo 2.27
2 Mo 0.0000 0.0000 0.5000  2 Fe 2.27
3 Pb 0.5000 0.5000 0.5000  12 Mo 3.21

Magnetization: 0.00 μB/f.u.
Polymorph energy (0 for the lowest one): 0.000 eV/atom

***

[5]
# FeMo2Pb

Crystalline FeMo2Pb at its relaxed geometry (PBE, Alexandria).

Cell lengths 3.3754, 4.2912, 9.0765 Å; angles 90.00, 90.00, 90.00 degrees
With the nearest neighbours (Å) after each atom.
Space group Immm (No. 71)
Unique sites:
1 Fe 0.0000 0.0000 0.0000  4 Pb 2.73, 4 Mo 2.75
2 Mo 0.0000 0.5000 0.2608  4 Mo 2.74, 2 Fe 2.75, 4 Pb 2.91-3.05
3 Pb 0.0000 0.0000 0.5000  4 Fe 2.73, 8 Mo 2.91-3.05

Magnetization: 1.62 μB/f.u.
Electronic total energy: -7.959 eV/atom

***

[6]
# FeMoPb4

Crystalline FeMoPb4 at its relaxed geometry (PBE, Alexandria).

Cell lengths 8.8587, 8.8587, 8.8587 Å; angles 90.00, 90.00, 90.00 degrees
With the nearest neighbours (Å) after each atom.
Space group F-43m (No. 216)
Unique sites:
1 Fe 0.0000 0.0000 0.0000  12 Pb 3.67, 4 Mo 3.84
2 Mo 0.2500 0.2500 0.7500  12 Pb 3.67, 4 Fe 3.84
3 Pb 0.1248 0.1248 0.3752  6 Pb 3.13-3.14

Magnetization: 6.73 μB/f.u.
Electronic total energy: -4.447 eV/atom

***

[7]
# FeMo2Pb

Crystalline FeMo2Pb at its relaxed geometry (PBE, Alexandria).

Cell lengths 5.4653, 9.1550, 2.8613 Å; angles 90.00, 107.55, 90.00 degrees
With the nearest neighbours (Å) after each atom.
Space group C2/m (No. 12)
Unique sites:
1 Fe 0.0000 0.0000 0.0000  2 Pb 2.73, 4 Mo 2.82, 2 Fe 2.86
2 Mo 0.2500 0.2500 0.5000  4 Mo 2.73-2.86, 2 Fe 2.82, 2 Pb 2.82
3 Pb 0.0000 0.5000 0.0000  2 Fe 2.73, 4 Mo 2.82, 2 Pb 2.86

Magnetization: 2.69 μB/f.u.
Electronic total energy: -7.759 eV/atom

***

[8]
# FeMoPb

Crystalline FeMoPb at its relaxed geometry (PBE, Alexandria).

Cell lengths 3.0561, 3.0561, 11.2059 Å; angles 90.00, 90.00, 90.00 degrees
With the nearest neighbours (Å) after each atom.
Space group I4mm (No. 107)
Unique sites:
1 Fe 0.0000 0.0000 0.0000  4 Mo 2.54
2 Mo 0.0000 0.0000 0.6183  4 Fe 2.54
3 Pb 0.0000 0.0000 0.3194  4 Fe 2.96, 4 Pb 3.06, 4 Mo 3.12

Magnetization: 1.45 μB/f.u.
Electronic total energy: -7.107 eV/atom

***

[9]
# FeMo2Pb

Crystalline FeMo2Pb at its relaxed geometry (PBE, Alexandria).

Cell lengths 3.4089, 4.5433, 8.6204 Å; angles 90.00, 90.00, 90.00 degrees
With the nearest neighbours (Å) after each atom.
Space group Imm2 (No. 44)
Unique sites:
1 Fe 0.0000 0.0000 0.0000  6 Mo 2.67-2.85, 2 Pb 2.74
2 Mo 0.0000 0.0000 0.5206  2 Mo 2.69, 4 Fe 2.85, 4 Pb 2.89-3.01
3 Mo 0.0000 0.5000 0.2620  2 Fe 2.67, 2 Mo 2.69, 4 Pb 2.84
4 Pb 0.0000 0.5000 0.7495  2 Fe 2.74, 8 Mo 2.84-3.01

Magnetization: 2.24 μB/f.u.
Electronic total energy: -7.922 eV/atom

***

[10]
# Fe2MoPb

Crystalline Fe2MoPb at its relaxed geometry (PBE, Alexandria).

Cell lengths 4.0385, 4.0385, 3.8963 Å; angles 90.00, 90.00, 90.00 degrees
With the nearest neighbours (Å) after each atom.
Space group P4/mmm (No. 123)
Unique sites:
1 Fe 0.0000 0.5000 0.0000  4 Pb 2.81, 4 Mo 2.81, 4 Fe 2.86
2 Mo 0.0000 0.0000 0.5000  8 Fe 2.81, 4 Pb 2.86
3 Pb 0.5000 0.5000 0.5000  8 Fe 2.81, 4 Mo 2.86

Magnetization: 5.38 μB/f.u.
Electronic total energy: -7.338 eV/atom

***

[11]
# FeMo2Pb

Crystalline FeMo2Pb at its relaxed geometry (PBE, Alexandria).

Cell lengths 3.2875, 3.2875, 6.5665 Å; angles 90.00, 90.00, 90.00 degrees
With the nearest neighbours (Å) after each atom.
Space group P4/mmm (No. 123)
Unique sites:
1 Fe 0.0000 0.0000 0.0000  8 Mo 2.62
2 Mo 0.5000 0.5000 0.1828  1 Mo 2.40, 4 Fe 2.62
3 Pb 0.0000 0.0000 0.5000  8 Mo 3.12, 2 Fe 3.28, 4 Pb 3.29

Magnetization: 2.11 μB/f.u.
Electronic total energy: -7.928 eV/atom

***

[12]
# Fe2MoPb

Crystalline Fe2MoPb at its relaxed geometry (PBE, Alexandria).

Cell lengths 6.3260, 6.3260, 6.3260 Å; angles 90.00, 90.00, 90.00 degrees
With the nearest neighbours (Å) after each atom.
Space group F-43m (No. 216)
Unique sites:
1 Fe 0.0000 0.0000 0.0000  4 Pb 2.74, 4 Fe 2.74
2 Fe 0.2500 0.2500 0.2500  4 Mo 2.74, 4 Fe 2.74
3 Mo 0.0000 0.0000 0.5000  4 Fe 2.74, 4 Pb 2.74
4 Pb 0.2500 0.2500 0.7500  4 Mo 2.74, 4 Fe 2.74

Magnetization: 3.98 μB/f.u.
Electronic total energy: -7.250 eV/atom

***

[13]
# Fe2MoPb

Crystalline Fe2MoPb at its relaxed geometry (PBE, Alexandria).

Cell lengths 3.3502, 4.6835, 8.5448 Å; angles 90.00, 90.00, 90.00 degrees
With the nearest neighbours (Å) after each atom.
Space group Cmmm (No. 65)
Unique sites:
1 Fe 0.0000 0.0000 0.2251  2 Mo 2.55
2 Mo 0.0000 0.5000 0.0000  4 Fe 2.55
3 Pb 0.0000 0.5000 0.5000  4 Pb 2.88, 4 Fe 2.89

Magnetization: 4.84 μB/f.u.
Electronic total energy: -7.254 eV/atom

***

[14]
# FeMoPb

Crystalline FeMoPb at its relaxed geometry (PBE, Alexandria).

Cell lengths 3.2302, 3.2302, 6.3053 Å; angles 90.00, 90.00, 120.00 degrees
With the nearest neighbours (Å) after each atom.
Space group P3m1 (No. 156)
Unique sites:
1 Fe 0.0000 0.0000 0.0000  3 Mo 2.31
2 Mo 0.6667 0.3333 0.2172  3 Fe 2.31
3 Pb 0.3333 0.6667 0.6287  3 Fe 2.99, 3 Mo 3.20, 6 Pb 3.23

Magnetization: 0.00 μB/f.u.
Electronic total energy: -6.995 eV/atom

***

[15]
# Fe2MoPb

Crystalline Fe2MoPb at its relaxed geometry (PBE, Alexandria).

Cell lengths 3.0693, 3.0693, 24.4439 Å; angles 90.00, 90.00, 120.00 degrees
With the nearest neighbours (Å) after each atom.
Space group R-3m (No. 166, hexagonal axes)
Unique sites:
1 Fe 0.0000 0.0000 0.2377  3 Mo 2.48
2 Mo 0.0000 0.0000 0.5000  6 Fe 2.48
3 Pb 0.0000 0.0000 0.0000  6 Fe 2.93, 6 Pb 3.07

Magnetization: 2.35 μB/f.u.
Electronic total energy: -7.210 eV/atom